Record 1
{"formula": "CaAc3Ir", "functional": "PBE", "state": "relaxed", "cell": [[5.945, 0.000, 0.000], [0.000, 5.945, 0.000], [0.000, 0.000, 5.945]], "species": ["Ca", "Ac", "Ac", "Ac", "Ir"], "fractional_positions": [[0.000, 0.000, 0.000], [0.000, 0.500, 0.500], [0.500, 0.000, 0.500], [0.500, 0.500, 0.000], [0.500, 0.500, 0.500]], "final_energy_ev_per_atom": -4.962, "space_group": "No. 221", "m_tot_mub_per_cell": 0.00}

---

Record 2
{"formula": "TiCdAs3", "functional": "PBE", "state": "relaxed", "cell": [[4.909, 0.000, 0.000], [0.000, 4.909, 0.000], [0.000, 0.000, 4.909]], "species": ["Ti", "Cd", "As", "As", "As"], "fractional_positions": [[0.000, 0.000, 0.000], [0.500, 0.500, 0.500], [0.000, 0.000, 0.500], [0.000, 0.500, 0.000], [0.500, 0.000, 0.000]], "final_energy_ev_per_atom": -4.463, "space_group": "No. 221", "m_tot_mub_per_cell": 0.00}

---

Record 3
{"formula": "DyTm2", "functional": "PBE", "state": "relaxed", "cell": [[0.000, 4.583, 4.583], [4.583, 0.000, 4.583], [4.583, 4.583, 0.000]], "species": ["Dy", "Dy", "Tm", "Tm", "Tm", "Tm"], "fractional_positions": [[0.125, 0.125, 0.125], [0.875, 0.875, 0.875], [0.000, 0.500, 0.500], [0.500, 0.000, 0.500], [0.500, 0.500, 0.000], [0.500, 0.500, 0.500]], "final_energy_ev_per_atom": -4.238, "space_group": "No. 227", "m_tot_mub_per_cell": 1.03}